Run 1
# DyScCd | the Alexandria database | PBE | optimized geometry
# Volume in Å³ per atom: 25.9
data_DyScCd
_chemical_formula_sum 'Dy1 Sc1 Cd1'
_symmetry_space_group_name_H-M 'P 1'
_symmetry_Int_Tables_number 1
_cell_length_a 5.098
_cell_length_b 5.098
_cell_length_c 3.455
_cell_angle_alpha 90.00
_cell_angle_beta 90.00
_cell_angle_gamma 120.00
loop_
_symmetry_equiv_pos_as_xyz
'x,y,z'
loop_
_atom_site_label
_atom_site_type_symbol
_atom_site_fract_x
_atom_site_fract_y
_atom_site_fract_z
Dy1 Dy 0.000 0.000 0.000
Sc1 Sc 0.667 0.333 0.541
Cd1 Cd 0.333 0.667 0.402


Run 2
# DyScCd | the Alexandria database | PBE | optimized geometry
# Volume in Å³ per atom: 25.8
data_DyScCd
_chemical_formula_sum 'Dy2 Sc2 Cd2'
_symmetry_space_group_name_H-M 'P 1'
_symmetry_Int_Tables_number 1
_cell_length_a 3.377
_cell_length_b 3.377
_cell_length_c 13.552
_cell_angle_alpha 90.00
_cell_angle_beta 90.00
_cell_angle_gamma 90.00
loop_
_symmetry_equiv_pos_as_xyz
'x,y,z'
loop_
_atom_site_label
_atom_site_type_symbol
_atom_site_fract_x
_atom_site_fract_y
_atom_site_fract_z
Dy1 Dy 0.250 0.250 0.239
Dy2 Dy 0.750 0.750 0.761
Sc1 Sc 0.250 0.250 0.582
Sc2 Sc 0.750 0.750 0.418
Cd1 Cd 0.250 0.250 0.927
Cd2 Cd 0.750 0.750 0.073


Run 3
# DyScCd | the Alexandria database | PBE | optimized geometry
# Volume in Å³ per atom: 25.6
data_DyScCd
_chemical_formula_sum 'Dy1 Sc1 Cd1'
_symmetry_space_group_name_H-M 'P 1'
_symmetry_Int_Tables_number 1
_cell_length_a 6.858
_cell_length_b 6.858
_cell_length_c 6.858
_cell_angle_alpha 150.78
_cell_angle_beta 150.78
_cell_angle_gamma 41.79
loop_
_symmetry_equiv_pos_as_xyz
'x,y,z'
loop_
_atom_site_label
_atom_site_type_symbol
_atom_site_fract_x
_atom_site_fract_y
_atom_site_fract_z
Dy1 Dy 0.000 0.000 0.000
Sc1 Sc 0.318 0.318 0.000
Cd1 Cd 0.672 0.672 0.000


Bottom line: run 3, by a margin of 7.9 kJ/mol of atoms.


Run 1
# DyScCd4 | the Alexandria database | PBE | optimized geometry
# Volume in Å³ per atom: 23.3
data_DyScCd4
_chemical_formula_sum 'Dy1 Sc1 Cd4'
_symmetry_space_group_name_H-M 'P 1'
_symmetry_Int_Tables_number 1
_cell_length_a 5.823
_cell_length_b 5.823
_cell_length_c 5.823
_cell_angle_alpha 60.00
_cell_angle_beta 60.00
_cell_angle_gamma 60.00
loop_
_symmetry_equiv_pos_as_xyz
'x,y,z'
loop_
_atom_site_label
_atom_site_type_symbol
_atom_site_fract_x
_atom_site_fract_y
_atom_site_fract_z
Dy1 Dy 0.000 0.000 0.000
Sc1 Sc 0.750 0.750 0.750
Cd1 Cd 0.375 0.375 0.375
Cd2 Cd 0.375 0.375 0.875
Cd3 Cd 0.375 0.875 0.375
Cd4 Cd 0.875 0.375 0.375


Run 2
# DyScCd4 | the Alexandria database | PBE | optimized geometry
# Volume in Å³ per atom: 23.3
data_DyScCd4
_chemical_formula_sum 'Dy1 Sc1 Cd4'
_symmetry_space_group_name_H-M 'P 1'
_symmetry_Int_Tables_number 1
_cell_length_a 3.313
_cell_length_b 4.930
_cell_length_c 8.545
_cell_angle_alpha 90.00
_cell_angle_beta 90.10
_cell_angle_gamma 90.00
loop_
_symmetry_equiv_pos_as_xyz
'x,y,z'
loop_
_atom_site_label
_atom_site_type_symbol
_atom_site_fract_x
_atom_site_fract_y
_atom_site_fract_z
Dy1 Dy 0.000 0.000 0.000
Sc1 Sc 0.000 0.500 0.500
Cd1 Cd 0.499 0.000 0.663
Cd2 Cd 0.500 0.500 0.172
Cd3 Cd 0.500 0.500 0.828
Cd4 Cd 0.501 0.000 0.337


Bottom line: run 2, by a margin of 6.8 kJ/mol of atoms.


Run 1
# Sm6Dy3Cd | the Alexandria database | PBE | optimized geometry
# Volume in Å³ per atom: 31.9
data_Sm6Dy3Cd
_chemical_formula_sum 'Sm12 Dy6 Cd2'
_symmetry_space_group_name_H-M 'P 1'
_symmetry_Int_Tables_number 1
_cell_length_a 11.329
_cell_length_b 11.329
_cell_length_c 6.371
_cell_angle_alpha 90.00
_cell_angle_beta 90.00
_cell_angle_gamma 128.62
loop_
_symmetry_equiv_pos_as_xyz
'x,y,z'
loop_
_atom_site_label
_atom_site_type_symbol
_atom_site_fract_x
_atom_site_fract_y
_atom_site_fract_z
Sm1 Sm 0.021 0.979 0.500
Sm2 Sm 0.100 0.533 0.016
Sm3 Sm 0.261 0.373 0.233
Sm4 Sm 0.285 0.715 0.459
Sm5 Sm 0.373 0.261 0.733
Sm6 Sm 0.467 0.900 0.016
Sm7 Sm 0.533 0.100 0.516
Sm8 Sm 0.627 0.739 0.233
Sm9 Sm 0.715 0.285 0.959
Sm10 Sm 0.739 0.627 0.733
Sm11 Sm 0.900 0.467 0.516
Sm12 Sm 0.979 0.021 0.000
Dy1 Dy 0.043 0.296 0.661
Dy2 Dy 0.296 0.043 0.161
Dy3 Dy 0.413 0.587 0.758
Dy4 Dy 0.587 0.413 0.258
Dy5 Dy 0.704 0.957 0.661
Dy6 Dy 0.957 0.704 0.161
Cd1 Cd 0.155 0.845 0.737
Cd2 Cd 0.845 0.155 0.237


Run 2
# Sm6Dy3Cd | the Alexandria database | PBE | optimized geometry
# Volume in Å³ per atom: 31.8
data_Sm6Dy3Cd
_chemical_formula_sum 'Sm12 Dy6 Cd2'
_symmetry_space_group_name_H-M 'P 1'
_symmetry_Int_Tables_number 1
_cell_length_a 11.101
_cell_length_b 5.072
_cell_length_c 11.315
_cell_angle_alpha 90.00
_cell_angle_beta 91.50
_cell_angle_gamma 90.00
loop_
_symmetry_equiv_pos_as_xyz
'x,y,z'
loop_
_atom_site_label
_atom_site_type_symbol
_atom_site_fract_x
_atom_site_fract_y
_atom_site_fract_z
Sm1 Sm 0.047 0.250 0.395
Sm2 Sm 0.141 0.750 0.186
Sm3 Sm 0.153 0.250 0.691
Sm4 Sm 0.238 0.250 0.995
Sm5 Sm 0.346 0.750 0.798
Sm6 Sm 0.449 0.250 0.602
Sm7 Sm 0.551 0.750 0.398
Sm8 Sm 0.654 0.250 0.202
Sm9 Sm 0.762 0.750 0.005
Sm10 Sm 0.847 0.750 0.309
Sm11 Sm 0.859 0.250 0.814
Sm12 Sm 0.953 0.750 0.605
Dy1 Dy 0.248 0.750 0.492
Dy2 Dy 0.348 0.250 0.293
Dy3 Dy 0.449 0.750 0.099
Dy4 Dy 0.551 0.250 0.901
Dy5 Dy 0.652 0.750 0.707
Dy6 Dy 0.752 0.250 0.508
Cd1 Cd 0.051 0.750 0.896
Cd2 Cd 0.949 0.250 0.104


Bottom line: run 2, by a margin of 6.5 kJ/mol of atoms.


Run 1
# SmDyCd | the Alexandria database | PBE | optimized geometry
# Volume in Å³ per atom: 29.0
data_SmDyCd
_chemical_formula_sum 'Sm1 Dy1 Cd1'
_symmetry_space_group_name_H-M 'P 1'
_symmetry_Int_Tables_number 1
_cell_length_a 7.011
_cell_length_b 7.011
_cell_length_c 7.011
_cell_angle_alpha 149.81
_cell_angle_beta 149.81
_cell_angle_gamma 43.22
loop_
_symmetry_equiv_pos_as_xyz
'x,y,z'
loop_
_atom_site_label
_atom_site_type_symbol
_atom_site_fract_x
_atom_site_fract_y
_atom_site_fract_z
Sm1 Sm 0.000 0.000 0.000
Dy1 Dy 0.688 0.688 0.000
Cd1 Cd 0.338 0.338 0.000


Run 2
# SmDyCd | the Alexandria database | PBE | optimized geometry
# Volume in Å³ per atom: 29.1
data_SmDyCd
_chemical_formula_sum 'Sm1 Dy1 Cd1'
_symmetry_space_group_name_H-M 'P 1'
_symmetry_Int_Tables_number 1
_cell_length_a 5.283
_cell_length_b 5.283
_cell_length_c 3.607
_cell_angle_alpha 90.00
_cell_angle_beta 90.00
_cell_angle_gamma 120.00
loop_
_symmetry_equiv_pos_as_xyz
'x,y,z'
loop_
_atom_site_label
_atom_site_type_symbol
_atom_site_fract_x
_atom_site_fract_y
_atom_site_fract_z
Sm1 Sm 0.000 0.000 0.000
Dy1 Dy 0.667 0.333 0.440
Cd1 Cd 0.333 0.667 0.683


Run 3
# SmDyCd | the Alexandria database | PBE | optimized geometry
# Volume in Å³ per atom: 33.0
data_SmDyCd
_chemical_formula_sum 'Sm1 Dy1 Cd1'
_symmetry_space_group_name_H-M 'P 1'
_symmetry_Int_Tables_number 1
_cell_length_a 5.191
_cell_length_b 5.191
_cell_length_c 5.191
_cell_angle_alpha 60.00
_cell_angle_beta 60.00
_cell_angle_gamma 60.00
loop_
_symmetry_equiv_pos_as_xyz
'x,y,z'
loop_
_atom_site_label
_atom_site_type_symbol
_atom_site_fract_x
_atom_site_fract_y
_atom_site_fract_z
Sm1 Sm 0.000 0.000 0.000
Dy1 Dy 0.500 0.500 0.500
Cd1 Cd 0.750 0.750 0.750


Bottom line: run 1, by a margin of 11.4 kJ/mol of atoms.


Run 1
# SmDy2Cd2 | the Alexandria database | PBE | optimized geometry
# Volume in Å³ per atom: 27.9
data_SmDy2Cd2
_chemical_formula_sum 'Sm2 Dy4 Cd4'
_symmetry_space_group_name_H-M 'P 1'
_symmetry_Int_Tables_number 1
_cell_length_a 3.738
_cell_length_b 5.401
_cell_length_c 13.933
_cell_angle_alpha 90.00
_cell_angle_beta 97.72
_cell_angle_gamma 90.00
loop_
_symmetry_equiv_pos_as_xyz
'x,y,z'
loop_
_atom_site_label
_atom_site_type_symbol
_atom_site_fract_x
_atom_site_fract_y
_atom_site_fract_z
Sm1 Sm 0.149 0.250 0.297
Sm2 Sm 0.851 0.750 0.703
Dy1 Dy 0.047 0.750 0.092
Dy2 Dy 0.236 0.750 0.473
Dy3 Dy 0.764 0.250 0.527
Dy4 Dy 0.953 0.250 0.908
Cd1 Cd 0.358 0.250 0.718
Cd2 Cd 0.451 0.750 0.901
Cd3 Cd 0.549 0.250 0.099
Cd4 Cd 0.642 0.750 0.282


Run 2
# SmDy2Cd2 | the Alexandria database | PBE | optimized geometry
# Volume in Å³ per atom: 30.2
data_SmDy2Cd2
_chemical_formula_sum 'Sm1 Dy2 Cd2'
_symmetry_space_group_name_H-M 'P 1'
_symmetry_Int_Tables_number 1
_cell_length_a 5.229
_cell_length_b 5.229
_cell_length_c 6.378
_cell_angle_alpha 90.00
_cell_angle_beta 90.00
_cell_angle_gamma 120.00
loop_
_symmetry_equiv_pos_as_xyz
'x,y,z'
loop_
_atom_site_label
_atom_site_type_symbol
_atom_site_fract_x
_atom_site_fract_y
_atom_site_fract_z
Sm1 Sm 0.000 0.000 0.000
Dy1 Dy 0.333 0.667 0.649
Dy2 Dy 0.667 0.333 0.351
Cd1 Cd 0.333 0.667 0.158
Cd2 Cd 0.667 0.333 0.842


Bottom line: run 1, by a margin of 18.6 kJ/mol of atoms.